No. 1
Li2Si2NiO6 | meta-GGA SCAN | PBEsol geometry

Results
- spin magnetization (μB/f.u.) = 2.00
- relative energy among the computed polymorphs (meV/atom) = 100.9
- space group = C2/c, No. 15

Cell lengths 5.5735, 5.5735, 9.0836 Å; angles 89.89, 89.89, 117.91 degrees
Closest atoms and distances in Å follow each position.
Fractional coordinates of all 22 atoms:
Li  0.7191  0.3871  0.8839  3 O 1.94-2.01
Li  0.3871  0.7191  0.3839  3 O 1.94-2.01
Li  0.6129  0.2809  0.6161  3 O 1.94-2.01
Li  0.2809  0.6129  0.1161  3 O 1.94-2.01
Si  0.7947  0.8647  0.6378  4 O 1.62-1.67
Si  0.8647  0.7947  0.1378  4 O 1.62-1.67
Si  0.1353  0.2053  0.8622  4 O 1.62-1.67
Si  0.2053  0.1353  0.3622  4 O 1.62-1.67
Ni  0.2442  0.7558  0.7500  4 O 1.95-1.97
Ni  0.7558  0.2442  0.2500  4 O 1.95-1.97
O  0.8729  0.1271  0.7500  2 Si 1.67
O  0.1271  0.8729  0.2500  2 Si 1.67
O  0.0000  0.0000  0.5000  2 Si 1.62
O  0.0000  0.0000  0.0000  2 Si 1.62
O  0.8564  0.6348  0.7142  1 Si 1.63
O  0.6348  0.8564  0.2142  1 Si 1.63
O  0.3652  0.1436  0.7858  1 Si 1.63
O  0.1436  0.3652  0.2858  1 Si 1.63
O  0.4807  0.7574  0.5915  1 Si 1.62
O  0.7574  0.4807  0.0915  1 Si 1.62
O  0.2426  0.5193  0.9085  1 Si 1.62
O  0.5193  0.2426  0.4085  1 Si 1.62

No. 2
TaBeNi2 | meta-GGA SCAN | PBEsol geometry

Results
- spin magnetization (μB/f.u.) = 0.00
- D(E_F) (states/eV/atom) = 0.682
- energy (eV per formula unit) = -103.66
- space group = P4/mmm, No. 123

Cell lengths 2.7498, 4.1848, 4.1848 Å; angles 90.00, 90.00, 90.00 degrees
Closest atoms and distances in Å follow each position.
Fractional coordinates of all 4 atoms:
Ni  0.0000  0.0000  0.5000  4 Ta 2.50, 4 Be 2.50, 2 Ni 2.75
Ni  0.0000  0.5000  0.0000  4 Be 2.50, 4 Ta 2.50, 2 Ni 2.75
Be  0.5000  0.0000  0.0000  8 Ni 2.50, 2 Be 2.75
Ta  0.5000  0.5000  0.5000  8 Ni 2.50, 2 Ta 2.75

No. 3
LiCaBe2 | meta-GGA SCAN | PBEsol geometry

Results
- spin magnetization (μB/f.u.) = 0.04
- relative energy among the computed polymorphs (meV/atom) = 210.5
- D(E_F) (states/eV/atom) = 0.583
- space group = R-3m, No. 166

Cell lengths 4.5206, 4.5206, 4.5206 Å; angles 62.41, 62.41, 62.41 degrees
Closest atoms and distances in Å follow each position.
Fractional coordinates of all 4 atoms:
Be  0.2234  0.2234  0.2234  1 Li 2.43
Be  0.7766  0.7766  0.7766  1 Li 2.43
Ca  0.5000  0.5000  0.5000  8 Be 2.77-3.01
Li  0.0000  0.0000  0.0000  2 Be 2.43

No. 4
NaRe2Rh | meta-GGA SCAN | PBEsol geometry

Results
- spin magnetization (μB/f.u.) = 0.01
- D(E_F) (states/eV/atom) = 1.536
- energy (eV per formula unit) = -175.46
- space group = Fm-3m, No. 225

Cell lengths 4.3526, 4.3526, 4.3526 Å; angles 60.00, 60.00, 60.00 degrees
Closest atoms and distances in Å follow each position.
Fractional coordinates of all 4 atoms:
Re  0.2500  0.2500  0.2500  4 Rh 2.67, 4 Na 2.67
Re  0.7500  0.7500  0.7500  4 Na 2.67, 4 Rh 2.67
Rh  0.5000  0.5000  0.5000  8 Re 2.67
Na  0.0000  0.0000  0.0000  8 Re 2.67

No. 5
KMn2P | meta-GGA SCAN | PBEsol geometry

Results
- spin magnetization (μB/f.u.) = 8.00
- D(E_F) (states/eV/atom) = 0.191
- energy (eV per formula unit) = -54.17
- space group = Imm2, No. 44

Cell lengths 3.1136, 5.2952, 5.7414 Å; angles 117.46, 105.73, 90.00 degrees
Closest atoms and distances in Å follow each position.
Fractional coordinates of all 4 atoms:
K  0.2239  0.7239  0.4479  4 P 3.09-3.43, 2 K 3.11, 6 Mn 3.12-3.17
Mn  0.0452  0.0452  0.0903  2 Mn 2.77
Mn  0.7817  0.2817  0.5635  2 P 2.25
P  0.4492  0.4492  0.8984  2 Mn 2.25

No. 6
BeAgSbTe2 | meta-GGA SCAN | PBEsol geometry

Results
- spin magnetization (μB/f.u.) = 0.00
- D(E_F) (states/eV/atom) = 0.581
- energy (eV per formula unit) = -144.75
- space group = P4/mmm, No. 123

Cell lengths 4.6457, 5.0656, 5.0656 Å; angles 90.00, 90.00, 90.00 degrees
Closest atoms and distances in Å follow each position.
Fractional coordinates of all 5 atoms:
Sb  0.5000  0.0000  0.0000  2 Be 2.32
Te  0.0000  0.0000  0.5000  2 Be 2.53
Te  0.0000  0.5000  0.0000  2 Be 2.53
Ag  0.5000  0.5000  0.5000  8 Te 3.44, 4 Sb 3.58
Be  0.0000  0.0000  0.0000  2 Sb 2.32, 4 Te 2.53

No. 7
LaSe2Cl | meta-GGA SCAN | PBEsol geometry

Results
- spin magnetization (μB/f.u.) = 0.00
- relative energy among the computed polymorphs (meV/atom) = 0.0
- D(E_F) (states/eV/atom) = 0.000
- space group = Cm, No. 8

Cell lengths 4.1060, 5.1133, 5.4269 Å; angles 102.86, 112.23, 90.00 degrees
Closest atoms and distances in Å follow each position.
Fractional coordinates of all 4 atoms:
Cl  0.4533  0.4173  0.9065  3 La 2.96-2.99, 1 Se 3.07
Se  0.0616  0.9819  0.1232  1 Se 2.36
Se  0.2499  0.7808  0.4998  1 Se 2.36
La  0.7352  0.3201  0.4705  3 Cl 2.96-2.99, 4 Se 2.97-3.10

No. 8
MgSc3 | meta-GGA SCAN | PBEsol geometry

Results
- spin magnetization (μB/f.u.) = 0.00
- relative energy among the computed polymorphs (meV/atom) = 83.1
- D(E_F) (states/eV/atom) = 1.676
- space group = Pnma, No. 62

Cell lengths 5.5857, 6.3525, 10.5206 Å; angles 90.00, 90.00, 90.00 degrees
Closest atoms and distances in Å follow each position.
Fractional coordinates of all 16 atoms:
Mg  0.9164  0.6254  0.2500  10 Sc 3.10-3.32, 2 Mg 3.21
Mg  0.5836  0.1254  0.7500  10 Sc 3.10-3.32, 2 Mg 3.21
Mg  0.4164  0.8746  0.2500  10 Sc 3.10-3.32, 2 Mg 3.21
Mg  0.0836  0.3746  0.7500  10 Sc 3.10-3.32, 2 Mg 3.21
Sc  0.9138  0.1235  0.2500  8 Sc 3.14-3.28, 4 Mg 3.16-3.22
Sc  0.5862  0.6235  0.7500  8 Sc 3.14-3.28, 4 Mg 3.16-3.22
Sc  0.4138  0.3765  0.2500  8 Sc 3.14-3.28, 4 Mg 3.16-3.22
Sc  0.0862  0.8765  0.7500  8 Sc 3.14-3.28, 4 Mg 3.16-3.22
Sc  0.2451  0.6198  0.9904  3 Mg 3.10-3.32, 9 Sc 3.14-3.28
Sc  0.2549  0.1198  0.0096  3 Mg 3.10-3.32, 9 Sc 3.14-3.28
Sc  0.7451  0.8802  0.5096  3 Mg 3.10-3.32, 9 Sc 3.14-3.28
Sc  0.7549  0.3802  0.4904  3 Mg 3.10-3.32, 9 Sc 3.14-3.28
Sc  0.7549  0.3802  0.0096  3 Mg 3.10-3.32, 9 Sc 3.14-3.28
Sc  0.7451  0.8802  0.9904  3 Mg 3.10-3.32, 9 Sc 3.14-3.28
Sc  0.2549  0.1198  0.4904  3 Mg 3.10-3.32, 9 Sc 3.14-3.28
Sc  0.2451  0.6198  0.5096  3 Mg 3.10-3.32, 9 Sc 3.14-3.28